# 1
{
  "formula": "Tm2GeAs",
  "functional": "GGA-PBE",
  "state": "relaxed",
  "e_tot_ev_per_atom": -5.48,
  "crystal_system": "trigonal",
  "rho_g_cm3": 8.279,
  "e_above_lowest_polymorph_mev_per_atom": 227.3,
  "lattice_angstrom": [[3.922, 0.000, 0.000], [1.961, 3.396, 0.000], [1.961, 1.132, 7.311]],
  "species": ["Tm", "Tm", "Ge", "As"],
  "fractional_positions": [[0.249, 0.249, 0.254], [0.085, 0.085, 0.746], [0.668, 0.668, 0.995], [0.499, 0.499, 0.504]]
}

=====

# 2
{
  "formula": "UGeAs4",
  "functional": "GGA-PBE",
  "state": "relaxed",
  "e_tot_ev_per_atom": -5.84,
  "crystal_system": "monoclinic",
  "rho_g_cm3": 7.976,
  "lattice_angstrom": [[-0.660, -1.094, -5.585], [5.239, -2.111, -0.206], [-2.919, -7.316, 0.745]],
  "species": ["As", "As", "As", "As", "As", "As", "As", "As", "Ge", "Ge", "U", "U"],
  "fractional_positions": [[0.044, 0.481, 0.840], [0.573, 0.576, 0.626], [0.073, 0.924, 0.626], [0.456, 0.981, 0.160], [0.956, 0.519, 0.160], [0.544, 0.019, 0.840], [0.927, 0.076, 0.374], [0.427, 0.424, 0.374], [0.000, 0.500, 0.500], [0.500, 0.000, 0.500], [0.000, 0.000, 0.000], [0.500, 0.500, 0.000]]
}

=====

# 3
{
  "formula": "UGe2As",
  "functional": "GGA-PBE",
  "state": "relaxed",
  "e_tot_ev_per_atom": -6.67,
  "crystal_system": "tetragonal",
  "rho_g_cm3": 10.203,
  "lattice_angstrom": [[4.434, 0.000, 0.000], [0.000, 4.101, 0.000], [0.000, 0.000, 4.101]],
  "species": ["U", "Ge", "Ge", "As"],
  "fractional_positions": [[0.500, 0.500, 0.500], [0.000, 0.500, 0.000], [0.000, 0.000, 0.500], [0.500, 0.000, 0.000]]
}

=====

# 4
{
  "formula": "UGeAs2",
  "functional": "GGA-PBE",
  "state": "relaxed",
  "e_tot_ev_per_atom": -5.88,
  "crystal_system": "trigonal",
  "rho_g_cm3": 8.462,
  "e_above_lowest_polymorph_mev_per_atom": 819.5,
  "lattice_angstrom": [[-2.522, 0.439, 2.196], [-3.120, -1.007, -0.792], [-0.146, -8.429, 4.107]],
  "species": ["Ge", "As", "As", "U"],
  "fractional_positions": [[0.500, 0.500, 0.500], [0.105, 0.105, 0.686], [0.895, 0.895, 0.314], [0.000, 0.000, 0.000]]
}

=====

# 5
{
  "formula": "U2GeAs3",
  "functional": "GGA-PBE",
  "state": "relaxed",
  "e_tot_ev_per_atom": -7.44,
  "crystal_system": "tetragonal",
  "rho_g_cm3": 10.136,
  "lattice_angstrom": [[-1.780, 3.199, -1.517], [-0.573, -1.936, -3.410], [-7.114, -2.674, 2.712]],
  "species": ["Ge", "As", "As", "As", "U", "U"],
  "fractional_positions": [[0.500, 0.500, 0.000], [0.500, 0.000, 0.353], [0.000, 0.000, 0.000], [0.000, 0.500, 0.647], [0.000, 0.500, 0.289], [0.500, 0.000, 0.711]]
}

=====

# 6
{
  "formula": "UGeAs2",
  "functional": "GGA-PBE",
  "state": "relaxed",
  "e_tot_ev_per_atom": -6.70,
  "crystal_system": "tetragonal",
  "rho_g_cm3": 10.027,
  "e_above_lowest_polymorph_mev_per_atom": 0.0,
  "lattice_angstrom": [[-2.541, -1.987, 2.289], [3.365, -1.816, 2.159], [-0.033, 3.334, 2.857]],
  "species": ["U", "As", "As", "Ge"],
  "fractional_positions": [[0.500, 0.000, 0.000], [0.000, 0.500, 0.000], [0.000, 0.000, 0.500], [0.500, 0.500, 0.500]]
}

=====

# 7
{
  "formula": "V2GeAs2",
  "functional": "GGA-PBE",
  "state": "relaxed",
  "e_tot_ev_per_atom": -6.34,
  "crystal_system": "monoclinic",
  "rho_g_cm3": 6.232,
  "e_above_lowest_polymorph_mev_per_atom": 263.6,
  "lattice_angstrom": [[6.066, 0.365, 0.226], [-1.714, 5.830, 0.226], [-1.990, -2.833, 4.596]],
  "species": ["Ge", "Ge", "V", "V", "V", "V", "As", "As", "As", "As"],
  "fractional_positions": [[0.087, 0.413, 0.250], [0.913, 0.587, 0.750], [0.800, 0.700, 0.250], [0.660, 0.840, 0.750], [0.340, 0.160, 0.250], [0.200, 0.300, 0.750], [0.589, 0.237, 0.013], [0.737, 0.089, 0.513], [0.411, 0.763, 0.987], [0.263, 0.911, 0.487]]
}

=====

# 8
{
  "formula": "V4GeAs",
  "functional": "GGA-PBE",
  "state": "relaxed",
  "e_tot_ev_per_atom": -7.12,
  "crystal_system": "tetragonal",
  "rho_g_cm3": 5.576,
  "e_above_lowest_polymorph_mev_per_atom": 457.2,
  "lattice_angstrom": [[-2.024, -2.812, -5.567], [0.840, -5.547, 3.395], [-4.046, 4.432, 2.645]],
  "species": ["V", "V", "V", "V", "V", "V", "V", "V", "As", "As", "Ge", "Ge"],
  "fractional_positions": [[0.337, 0.501, 0.836], [0.165, 0.999, 0.166], [0.749, 0.415, 0.666], [0.251, 0.915, 0.664], [0.833, 0.999, 0.834], [0.665, 0.501, 0.164], [0.251, 0.587, 0.336], [0.749, 0.083, 0.334], [0.751, 0.751, 0.000], [0.501, 0.001, 0.500], [0.999, 0.499, 0.500], [0.249, 0.249, 0.000]]
}